First-principles (PBE-GGA) data for a geometry-optimized AcLaTe2 structure, as listed in Alexandria.

Summary:
total DFT energy (no corrections) = -42.9 eV/cell
DOS at the Fermi energy = 0.6897 states/eV per atom
size of the total moment = 0.0 μB per formula unit
space group = I4_1/amd (141)

Cell lengths 6.5934, 6.5934, 8.0755 Å; angles 114.09, 114.09, 90.00 degrees
With the nearest neighbours (Å) after each atom.
Sites, in units of the cell vectors:
Te1 0.4969 0.9969 0.9937  3 La 3.26-3.30, 3 Ac 3.30-3.34
Te2 0.0031 0.5031 0.0063  3 La 3.26-3.30, 3 Ac 3.30-3.34
Te3 0.7469 0.7469 0.4937  3 La 3.26-3.30, 3 Ac 3.30-3.34
Te4 0.2531 0.2531 0.5063  3 La 3.26-3.30, 3 Ac 3.30-3.34
La1 0.5000 0.5000 0.0000  6 Te 3.26-3.30
La2 0.2500 0.7500 0.5000  6 Te 3.26-3.30
Ac1 0.0000 0.0000 0.0000  6 Te 3.30-3.34
Ac2 0.7500 0.2500 0.5000  6 Te 3.30-3.34